[1]
# Fe5Re24, optimized geometry, DFT PBE
# E, eV per atom: -11.677
data_Fe5Re24
_cell_length_a 9.5773
_cell_length_b 9.5773
_cell_length_c 9.5773
_cell_angle_alpha 90.00
_cell_angle_beta 90.00
_cell_angle_gamma 90.00
_symmetry_space_group_name_H-M 'I -4 3 m'
_symmetry_Int_Tables_number 217
_symmetry_space_group_name_Hall 'I -4 2 3'
loop_
_atom_site_label
_atom_site_type_symbol
_atom_site_fract_x
_atom_site_fract_y
_atom_site_fract_z
Fe1 Fe 0.0000 0.0000 0.0000
Fe2 Fe 0.1700 0.1700 0.8300
Re1 Re 0.0441 0.3584 0.3584
Re2 Re 0.0915 0.0915 0.2855

***

[2]
# CaLa2Au2, optimized geometry, DFT PBE
# Offset from the most stable computed form, meV/atom: 337
data_CaLa2Au2
_cell_length_a 5.4782
_cell_length_b 5.4782
_cell_length_c 10.8957
_cell_angle_alpha 90.00
_cell_angle_beta 90.00
_cell_angle_gamma 90.00
_symmetry_space_group_name_H-M 'I 4/m m m'
_symmetry_Int_Tables_number 139
_symmetry_space_group_name_Hall '-I 4 2'
loop_
_atom_site_label
_atom_site_type_symbol
_atom_site_fract_x
_atom_site_fract_y
_atom_site_fract_z
Ca1 Ca 0.0000 0.0000 0.0000
La1 La 0.0000 0.0000 0.3579
Au1 Au 0.0000 0.5000 0.2500

***

[3]
# TaCu2Pt, optimized geometry, DFT PBE
# Offset from the most stable computed form, meV/atom: 60
data_TaCu2Pt
_cell_length_a 9.0860
_cell_length_b 2.7905
_cell_length_c 4.6809
_cell_angle_alpha 90.00
_cell_angle_beta 100.71
_cell_angle_gamma 90.00
_symmetry_space_group_name_H-M 'C 1 m 1'
_symmetry_Int_Tables_number 8
loop_
_symmetry_equiv_pos_as_xyz
'x,y,z'
'x,-y,z'
'x+1/2,y+1/2,z'
'x+1/2,-y+1/2,z'
loop_
_atom_site_label
_atom_site_type_symbol
_atom_site_fract_x
_atom_site_fract_y
_atom_site_fract_z
Ta1 Ta 0.0000 0.0000 0.0000
Cu1 Cu 0.0022 0.5000 0.4928
Cu2 Cu 0.2562 0.5000 0.2827
Pt1 Pt 0.2461 0.0000 0.7729

***

[4]
# YTaBr2, optimized geometry, DFT PBE
# Offset from the most stable computed form, meV/atom: 609
# E_form (uncorrected), eV per formula unit: 0.512
data_YTaBr2
_cell_length_a 3.3157
_cell_length_b 3.3157
_cell_length_c 10.5123
_cell_angle_alpha 90.00
_cell_angle_beta 90.00
_cell_angle_gamma 90.00
_symmetry_space_group_name_H-M 'P 4/m m m'
_symmetry_Int_Tables_number 123
_symmetry_space_group_name_Hall '-P 4 2'
loop_
_atom_site_label
_atom_site_type_symbol
_atom_site_fract_x
_atom_site_fract_y
_atom_site_fract_z
Y1 Y 0.0000 0.0000 0.0000
Ta1 Ta 0.0000 0.0000 0.5000
Br1 Br 0.5000 0.5000 0.1686

***

[5]
# TaPtI3, optimized geometry, DFT PBE
# Offset from the most stable computed form, meV/atom: 0
# E_form (uncorrected), eV per formula unit: 4.638
data_TaPtI3
_cell_length_a 5.4403
_cell_length_b 5.4403
_cell_length_c 5.4403
_cell_angle_alpha 90.00
_cell_angle_beta 90.00
_cell_angle_gamma 90.00
_symmetry_space_group_name_H-M 'P m -3 m'
_symmetry_Int_Tables_number 221
_symmetry_space_group_name_Hall '-P 4 2 3'
loop_
_atom_site_label
_atom_site_type_symbol
_atom_site_fract_x
_atom_site_fract_y
_atom_site_fract_z
Ta1 Ta 0.0000 0.0000 0.0000
Pt1 Pt 0.5000 0.5000 0.5000
I1 I 0.0000 0.0000 0.5000

***

[6]
# K2Tc, optimized geometry, DFT PBE
# Offset from the most stable computed form, meV/atom: 776
data_K2Tc
_cell_length_a 3.3043
_cell_length_b 3.3043
_cell_length_c 38.0639
_cell_angle_alpha 90.00
_cell_angle_beta 90.00
_cell_angle_gamma 90.00
_symmetry_space_group_name_H-M 'I 41/a m d'
_symmetry_Int_Tables_number 141
loop_
_symmetry_equiv_pos_as_xyz
'x,y,z'
'-x,-y,-z'
'-y+1/4,x+3/4,z+1/4'
'y+1/4,-x+3/4,-z+1/4'
'-x+1/2,-y,z+1/2'
'x+1/2,y,-z+1/2'
'y+1/4,-x+1/4,z+3/4'
'-y+1/4,x+1/4,-z+3/4'
'x,-y,-z'
'-x,y,z'
'-y+1/4,-x+1/4,-z+3/4'
'y+1/4,x+1/4,z+3/4'
'-x+1/2,y,-z+1/2'
'x+1/2,-y,z+1/2'
'y+1/4,x+3/4,-z+1/4'
'-y+1/4,-x+3/4,z+1/4'
'x+1/2,y+1/2,z+1/2'
'-x+1/2,-y+1/2,-z+1/2'
'-y+3/4,x+1/4,z+3/4'
'y+3/4,-x+1/4,-z+3/4'
'-x,-y+1/2,z'
'x,y+1/2,-z'
'y+3/4,-x+3/4,z+1/4'
'-y+3/4,x+3/4,-z+1/4'
'x+1/2,-y+1/2,-z+1/2'
'-x+1/2,y+1/2,z+1/2'
'-y+3/4,-x+3/4,-z+1/4'
'y+3/4,x+3/4,z+1/4'
'-x,y+1/2,-z'
'x,-y+1/2,z'
'y+3/4,x+1/4,-z+3/4'
'-y+3/4,-x+1/4,z+3/4'
loop_
_atom_site_label
_atom_site_type_symbol
_atom_site_fract_x
_atom_site_fract_y
_atom_site_fract_z
K1 K 0.0000 0.2500 0.3078
Tc1 Tc 0.0000 0.2500 0.8750

***

[7]
# KGaPd2Pb, optimized geometry, DFT PBE
# E, eV per atom: -3.086
data_KGaPd2Pb
_cell_length_a 5.1866
_cell_length_b 5.1866
_cell_length_c 6.1720
_cell_angle_alpha 90.00
_cell_angle_beta 90.00
_cell_angle_gamma 90.00
_symmetry_space_group_name_H-M 'P 4/m m m'
_symmetry_Int_Tables_number 123
_symmetry_space_group_name_Hall '-P 4 2'
loop_
_atom_site_label
_atom_site_type_symbol
_atom_site_fract_x
_atom_site_fract_y
_atom_site_fract_z
K1 K 0.0000 0.0000 0.0000
Ga1 Ga 0.5000 0.5000 0.0000
Pd1 Pd 0.0000 0.5000 0.5000
Pb1 Pb 0.0000 0.0000 0.5000

***

[8]
# KBaCo2, optimized geometry, DFT PBE
# Offset from the most stable computed form, meV/atom: 0
data_KBaCo2
_cell_length_a 6.9557
_cell_length_b 4.0206
_cell_length_c 9.3344
_cell_angle_alpha 90.00
_cell_angle_beta 104.45
_cell_angle_gamma 90.00
_symmetry_space_group_name_H-M 'C 1 m 1'
_symmetry_Int_Tables_number 8
loop_
_symmetry_equiv_pos_as_xyz
'x,y,z'
'x,-y,z'
'x+1/2,y+1/2,z'
'x+1/2,-y+1/2,z'
loop_
_atom_site_label
_atom_site_type_symbol
_atom_site_fract_x
_atom_site_fract_y
_atom_site_fract_z
K1 K 0.0000 0.0000 0.0000
Ba1 Ba 0.1754 0.0000 0.5207
Co1 Co 0.2598 0.5000 0.2761
Co2 Co 0.4264 0.0000 0.2761